An optimized crystal structure of LaEu2Tl. Source: the Alexandria database, functional PBE.

Its energy relative to the elements is 0.0861 eV per atom.

The structure belongs to space group R-3m (No. 166, hexagonal axes); the cell edges are 3.7350, 3.7350 and 38.6435 Å and the angles 90.00°, 90.00° and 120.00°. The asymmetric unit holds La at (0.0000, 0.0000, 0.0000), Eu at (0.0000, 0.0000, 0.4140) and Tl at (0.0000, 0.0000, 0.5000).


An optimized crystal structure of CeLuScPb. Source: the Alexandria database, functional PBE.

Its energy relative to the elements is -0.0431 eV per atom.

The structure belongs to space group F-43m (No. 216); the cell edges are 7.4431, 7.4431 and 7.4431 Å and the angles 90.00°, 90.00° and 90.00°. The asymmetric unit holds Ce at (0.0000, 0.0000, 0.0000), Lu at (0.2500, 0.2500, 0.2500), Sc at (0.2500, 0.2500, 0.7500) and Pb at (0.0000, 0.0000, 0.5000).


An optimized crystal structure of Hf2MgPd. Source: the Alexandria database, functional PBE.

Its energy relative to the elements is -0.1915 eV per atom.

The structure belongs to space group P4/mmm (No. 123); the cell edges are 3.4907, 3.4907 and 6.3976 Å and the angles 90.00°, 90.00° and 90.00°. The asymmetric unit holds Hf at (0.0000, 0.0000, 0.2391), Mg at (0.5000, 0.5000, 0.5000) and Pd at (0.5000, 0.5000, 0.0000).


An optimized crystal structure of LiMo2PtN. Source: the Alexandria database, functional PBE.

The calculation puts the uncorrected formation energy at -289 meV per atom.

The structure belongs to space group P4/mmm (No. 123); the cell edges are 4.0471, 4.0471 and 4.0311 Å and the angles 90.00°, 90.00° and 90.00°. The asymmetric unit holds Li at (0.0000, 0.0000, 0.0000), Mo at (0.0000, 0.5000, 0.5000), Pt at (0.5000, 0.5000, 0.0000) and N at (0.0000, 0.0000, 0.5000).